Entry 1:
Density functional theory data (GGA-PBE) for an optimized crystal structure of Tm4MgZn5.

Space-group type   P4/mmm (123)
Energy relative to the elements   -3.01 eV per formula unit
Crystal system   tetragonal

Unit cell a=3.4878 b=3.4878 c=17.2960 alpha=90.00 beta=90.00 gamma=90.00
With the nearest neighbours (Å) after each atom.
Fractional coordinates of all 10 atoms:
1 Tm 0.0000 0.0000 0.8067  8 Zn 3.04-3.06, 1 Mg 3.34
2 Tm 0.0000 0.0000 0.1933  8 Zn 3.04-3.06, 1 Mg 3.34
3 Tm 0.0000 0.0000 0.3976  8 Zn 3.03-3.04
4 Tm 0.0000 0.0000 0.6024  8 Zn 3.03-3.04
5 Zn 0.5000 0.5000 0.5000  8 Tm 3.04
6 Zn 0.5000 0.5000 0.9117  4 Mg 2.90, 1 Zn 3.05, 4 Tm 3.06
7 Zn 0.5000 0.5000 0.7040  8 Tm 3.03-3.04
8 Zn 0.5000 0.5000 0.2960  8 Tm 3.03-3.04
9 Zn 0.5000 0.5000 0.0883  4 Mg 2.90, 1 Zn 3.05, 4 Tm 3.06
10 Mg 0.0000 0.0000 0.0000  8 Zn 2.90

---

Entry 2:
Density functional theory data (GGA-PBE) for an optimized crystal structure of BeCu2Rh2.

Space-group type   P4/mbm (127)
Energy relative to the elements   0.56 eV per formula unit
Energy above the lowest structure with this stoichiometry   0.0 meV/atom
Crystal system   tetragonal

Unit cell a=5.7997 b=5.7997 c=3.9763 alpha=90.00 beta=90.00 gamma=90.00
With the nearest neighbours (Å) after each atom.
Fractional coordinates of all 10 atoms:
1 Cu 0.8442 0.3442 0.5000  6 Rh 2.53-2.68, 1 Cu 2.56
2 Cu 0.1558 0.6558 0.5000  6 Rh 2.53-2.68, 1 Cu 2.56
3 Cu 0.3442 0.1558 0.5000  6 Rh 2.53-2.68, 1 Cu 2.56
4 Cu 0.6558 0.8442 0.5000  6 Rh 2.53-2.68, 1 Cu 2.56
5 Rh 0.8467 0.6533 0.0000  2 Be 2.20
6 Rh 0.6533 0.1533 0.0000  2 Be 2.20
7 Rh 0.3467 0.8467 0.0000  2 Be 2.20
8 Rh 0.1533 0.3467 0.0000  2 Be 2.20
9 Be 0.5000 0.5000 0.0000  4 Rh 2.20
10 Be 0.0000 0.0000 0.0000  4 Rh 2.20

---

Entry 3:
Density functional theory data (GGA-PBE) for an optimized crystal structure of LiVBSe2.

Uncorrected formation energy   1.20 eV/atom
Space-group type   P4/mmm (123)
Crystal system   tetragonal

Unit cell a=4.5746 b=4.3755 c=4.5746 alpha=90.00 beta=90.00 gamma=90.00
With the nearest neighbours (Å) after each atom.
Fractional coordinates of all 5 atoms:
1 B 0.5000 0.5000 0.5000  8 Se 3.17, 4 V 3.23
2 Li 0.0000 0.0000 0.0000  2 V 2.19, 4 Se 2.29
3 Se 0.0000 0.0000 0.5000  2 Li 2.29
4 Se 0.5000 0.0000 0.0000  2 Li 2.29
5 V 0.0000 0.5000 0.0000  2 Li 2.19

---

Entry 4:
Density functional theory data (GGA-PBE) for an optimized crystal structure of K2ScSnO4.

Uncorrected formation energy   -2.02 eV/atom
Space-group type   C2 (5)
Crystal system   monoclinic

Unit cell a=5.9854 b=6.2935 c=6.0665 alpha=125.91 beta=124.37 gamma=82.11
With the nearest neighbours (Å) after each atom.
Fractional coordinates of all 8 atoms:
1 O 0.6735 0.5495 0.6564  1 Sc 1.99, 1 Sn 2.16
2 O 0.8518 0.4651 0.2015  1 Sc 2.03, 1 Sn 2.06
3 O 0.3497 0.7363 0.2015  1 Sc 2.03, 1 Sn 2.06
4 O 0.9828 0.1069 0.6563  1 Sc 1.99, 1 Sn 2.16
5 K 0.2646 0.2646 0.5292  4 O 2.69-2.86
6 K 0.5166 0.0166 0.0332  6 O 2.90-2.98
7 Sn 0.7619 0.7619 0.5238  4 O 2.06-2.16
8 Sc 0.9861 0.4861 0.9722  4 O 1.99-2.03

---

Entry 5:
Density functional theory data (GGA-PBE) for an optimized crystal structure of CeHfRePd.

Space-group type   F-43m (216)
Energy relative to the elements   -1.12 eV per formula unit
Crystal system   cubic

Unit cell a=4.8074 b=4.8074 c=4.8074 alpha=60.00 beta=60.00 gamma=60.00
With the nearest neighbours (Å) after each atom.
Fractional coordinates of all 4 atoms:
1 Pd 0.0000 0.0000 0.0000  4 Hf 2.94, 4 Ce 2.94
2 Hf 0.7500 0.7500 0.7500  4 Re 2.94, 4 Pd 2.94
3 Re 0.5000 0.5000 0.5000  4 Hf 2.94, 4 Ce 2.94
4 Ce 0.2500 0.2500 0.2500  4 Pd 2.94, 4 Re 2.94

---

| no. | spin magnetization (μB/f.u.) |
| --- | --- |
| 1 | 0.000 |
| 2 | 0.105 |
| 3 | 3.353 |
| 4 | 0.791 |
| 5 | 0.388 |